# Y2MnAs

A geometry-optimized Y2MnAs structure (PBE, the Alexandria database).

a = 6.4380 Å, b = 6.4380 Å, c = 6.4380 Å
α = 106.04°, β = 106.04°, γ = 116.58°
Sites, in units of the cell vectors:
Y  0.1133  0.6250  0.9883
Y  0.3750  0.3633  0.4883
Y  0.6367  0.1250  0.0117
Y  0.8750  0.8867  0.5117
Mn  0.2500  0.7500  0.5000
Mn  0.5000  0.5000  0.0000
As  0.0000  0.0000  0.0000
As  0.7500  0.2500  0.5000

- Space-group type: No. 122
- DOS(E_F): 8.5 states/eV per cell
- Magnetic moment: 3.81 μB per formula unit
- Energy relative to the elements: -0.4 eV per formula unit

=====

# TiSiMo3

A geometry-optimized TiSiMo3 structure (PBE, the Alexandria database).

a = 4.5317 Å, b = 4.5317 Å, c = 4.5317 Å
α = 90.00°, β = 90.00°, γ = 90.00°
Sites, in units of the cell vectors:
Ti  0.0000  0.0000  0.0000
Si  0.5000  0.5000  0.5000
Mo  0.0000  0.0000  0.5000
Mo  0.0000  0.5000  0.0000
Mo  0.5000  0.0000  0.0000

- E_form (uncorrected): 1.58 eV/atom
- Space-group type: No. 221
- Energy above the most stable polymorph in this dataset: 0.768 eV/atom
- DOS(E_F): 5.1 states/eV per cell
- Magnetic moment: 0.00 μB per formula unit

=====

# LiTc2Ni

A geometry-optimized LiTc2Ni structure (PBE, the Alexandria database).

a = 4.5910 Å, b = 4.5910 Å, c = 4.7694 Å
α = 95.05°, β = 95.05°, γ = 31.87°
Sites, in units of the cell vectors:
Li  0.0000  0.0000  0.0000
Tc  0.5196  0.5196  0.5094
Tc  0.7563  0.7563  0.2759
Ni  0.2489  0.2489  0.7881

- Space-group type: No. 8
- Energy above the most stable polymorph in this dataset: 0.039 eV/atom
- DOS(E_F): 2.8 states/eV per cell
- Magnetic moment: 0.00 μB per formula unit
- Energy relative to the elements: 0.6 eV per formula unit

=====

# Rb2TiSbF6

A geometry-optimized Rb2TiSbF6 structure (PBE, the Alexandria database).

a = 6.6717 Å, b = 6.6717 Å, c = 6.6717 Å
α = 113.58°, β = 113.58°, γ = 101.54°
Sites, in units of the cell vectors:
Rb  0.2500  0.7500  0.5000
Rb  0.7500  0.2500  0.5000
Ti  0.0000  0.0000  0.0000
Sb  0.5000  0.5000  0.0000
F  0.1840  0.1840  0.3680
F  0.1840  0.8160  0.0000
F  0.2307  0.2307  0.0000
F  0.7693  0.7693  0.0000
F  0.8160  0.1840  0.0000
F  0.8160  0.8160  0.6320

- E_form (uncorrected): -2.57 eV/atom
- Space-group type: No. 139
- DOS(E_F): 12.1 states/eV per cell
- Magnetic moment: 1.00 μB per formula unit

=====

# La6NiGe2Br3

A geometry-optimized La6NiGe2Br3 structure (PBE, the Alexandria database).

a = 9.7566 Å, b = 9.7566 Å, c = 8.9811 Å
α = 103.89°, β = 103.89°, γ = 25.91°
Sites, in units of the cell vectors:
La  0.0015  0.0015  0.2325
La  0.3270  0.3270  0.4281
La  0.3560  0.3560  0.9041
La  0.6440  0.6440  0.0959
La  0.6730  0.6730  0.5719
La  0.9985  0.9985  0.7675
Ni  0.5000  0.5000  0.0000
Ge  0.1624  0.1624  0.3377
Ge  0.8376  0.8376  0.6623
Br  0.1766  0.1766  0.8437
Br  0.5000  0.5000  0.5000
Br  0.8234  0.8234  0.1563

- E_form (uncorrected): -1.09 eV/atom
- Space-group type: No. 12
- DOS(E_F): 8.3 states/eV per cell
- Magnetic moment: 0.00 μB per formula unit

=====

# BaCaZn2Ir

A geometry-optimized BaCaZn2Ir structure (PBE, the Alexandria database).

a = 5.0830 Å, b = 5.0830 Å, c = 5.2353 Å
α = 90.00°, β = 90.00°, γ = 90.00°
Sites, in units of the cell vectors:
Ba  0.0000  0.0000  0.0000
Ca  0.5000  0.5000  0.0000
Zn  0.0000  0.5000  0.5000
Zn  0.5000  0.0000  0.5000
Ir  0.5000  0.5000  0.5000

- Space-group type: No. 123
- DOS(E_F): 2.2 states/eV per cell
- Magnetic moment: 0.00 μB per formula unit
- Energy relative to the elements: -1.0 eV per formula unit

=====

Energy per entry: -6.79; -7.58; -6.96; -5.09; -5.22; -3.26 eV/atom